1.
Entry from Alexandria via LeMat-Bulk: CeSn2F8 after structural relaxation (PBE).

Cell lengths 4.0418, 5.8893, 7.6320 Å; angles 110.05, 105.35, 90.00 degrees
Closest atoms and distances in Å follow each position.
Atoms (fractional coordinates):
Ce: 0.5000 0.0000 0.0000  8 F 2.21-2.36
F: 0.0256 0.8230 0.0512  2 Ce 2.36, 1 F 2.46
Sn: 0.8140 0.3267 0.6281  4 F 2.26-2.47
F: 0.9744 0.1770 0.9488  2 Ce 2.36, 1 F 2.46
F: 0.2240 0.3337 0.4480  3 Sn 2.26-2.43
F: 0.4107 0.6081 0.8214  1 Ce 2.21
Sn: 0.1860 0.6733 0.3719  4 F 2.26-2.47
F: 0.5893 0.3919 0.1786  1 Ce 2.21
F: 0.6553 0.9901 0.3106  1 Ce 2.31, 1 Sn 2.47
F: 0.7760 0.6663 0.5520  3 Sn 2.26-2.43
F: 0.3447 0.0099 0.6894  1 Ce 2.31, 1 Sn 2.47

Calculated values
**Formation energy without anion corrections**: -2.91 eV per atom
**Relative energy among the computed polymorphs**: 37.4 meV/atom
**Space group**: No. 12

---

2.
Entry from Alexandria via LeMat-Bulk: Li3BrF2 after structural relaxation (PBE).

Cell lengths 3.9300, 3.6409, 5.9871 Å; angles 107.70, 109.16, 90.00 degrees
Closest atoms and distances in Å follow each position.
Atoms (fractional coordinates):
F: 0.8080 0.5153 0.6160  5 Li 2.00-2.06
Li: 0.2735 0.4809 0.5470  4 F 2.00-2.02
Li: 0.7265 0.9338 0.4530  4 F 2.00-2.02
Br: 0.5000 0.2068 0.0000  4 Li 2.68
Li: 0.0000 0.7068 0.0000  2 F 2.06
F: 0.1920 0.8993 0.3840  5 Li 2.00-2.06

Calculated values
**Fermi-level density of states**: 0.000 states/eV per atom
**Formation energy without anion corrections**: -2.45 eV per atom
**Space group**: No. 71

---

3.
Entry from Alexandria via LeMat-Bulk: AlHRu2Pb after structural relaxation (PBE).

Cell lengths 4.7562, 4.7562, 3.3655 Å; angles 90.00, 90.00, 90.00 degrees
Closest atoms and distances in Å follow each position.
Atoms (fractional coordinates):
Al: 0.0000 0.0000 0.0000  2 H 1.68
Ru: 0.0000 0.5000 0.0000  2 Al 2.38
H: 0.0000 0.0000 0.5000  2 Al 1.68
Ru: 0.5000 0.0000 0.0000  2 Al 2.38
Pb: 0.5000 0.5000 0.5000  8 Ru 2.91

Calculated values
**Fermi-level density of states**: 0.921 states/eV per atom
**Space group**: No. 123

---

4.
Entry from Alexandria via LeMat-Bulk: Nd2SnPt after structural relaxation (PBE).

Cell lengths 4.0286, 4.0286, 10.0850 Å; angles 78.48, 78.48, 60.00 degrees
Closest atoms and distances in Å follow each position.
Atoms (fractional coordinates):
Nd: 0.8908 0.8908 0.3277  3 Pt 2.88, 1 Sn 3.22
Sn: 0.0000 0.0000 0.0000  2 Nd 3.22
Nd: 0.1092 0.1092 0.6723  3 Pt 2.88, 1 Sn 3.22
Pt: 0.5000 0.5000 0.5000  6 Nd 2.88

Calculated values
**Fermi-level density of states**: 0.912 states/eV per atom
**ΔE_f**: -0.435 eV per atom
**Space group**: No. 166

---

5.
Entry from Alexandria via LeMat-Bulk: TmLuPd after structural relaxation (PBE).

Cell lengths 3.4763, 3.4763, 6.4994 Å; angles 105.51, 105.51, 90.00 degrees
Closest atoms and distances in Å follow each position.
Atoms (fractional coordinates):
Pd: 0.6685 0.6685 0.3370  4 Lu 2.95, 4 Tm 2.99
Lu: 0.3045 0.3045 0.6089  4 Pd 2.95
Tm: 0.0270 0.0270 0.0540  4 Pd 2.99, 1 Lu 3.34

Calculated values
**Fermi-level density of states**: 0.649 states/eV per atom
**ΔE_f**: -0.600 eV per atom
**Relative energy among the computed polymorphs**: 0.0 meV/atom
**Space group**: No. 107

---

6.
Entry from Alexandria via LeMat-Bulk: SrHo4Ag5 after structural relaxation (PBE).

Cell lengths 3.6466, 3.6466, 18.6697 Å; angles 90.00, 90.00, 90.00 degrees
Closest atoms and distances in Å follow each position.
Atoms (fractional coordinates):
Sr: 0.0000 0.0000 0.0000  8 Ag 3.41, 4 Sr 3.65
Ho: 0.0000 0.0000 0.5967  8 Ag 3.15-3.16
Ho: 0.0000 0.0000 0.2083  8 Ag 3.06-3.15
Ag: 0.5000 0.5000 0.5000  8 Ho 3.15
Ho: 0.0000 0.0000 0.7917  8 Ag 3.06-3.15
Ag: 0.5000 0.5000 0.3054  8 Ho 3.15-3.16, 1 Ag 3.47
Ag: 0.5000 0.5000 0.1197  4 Ho 3.06, 4 Sr 3.41
Ho: 0.0000 0.0000 0.4033  8 Ag 3.15-3.16
Ag: 0.5000 0.5000 0.8803  4 Ho 3.06, 4 Sr 3.41
Ag: 0.5000 0.5000 0.6946  8 Ho 3.15-3.16, 1 Ag 3.47

Calculated values
**Fermi-level density of states**: 0.556 states/eV per atom
**ΔE_f**: -0.308 eV per atom
**Space group**: No. 123

---

7.
Entry from Alexandria via LeMat-Bulk: HfMnAlP2 after structural relaxation (PBE).

Cell lengths 4.4579, 5.0186, 4.4579 Å; angles 90.00, 90.00, 90.00 degrees
Closest atoms and distances in Å follow each position.
Atoms (fractional coordinates):
Hf: 0.0000 0.5000 0.0000  2 Al 2.51
Mn: 0.5000 0.5000 0.5000  4 Hf 3.15, 8 P 3.36
Al: 0.0000 0.0000 0.0000  4 P 2.23
P: 0.0000 0.0000 0.5000  2 Al 2.23
P: 0.5000 0.0000 0.0000  2 Al 2.23

Calculated values
**Fermi-level density of states**: 1.271 states/eV per atom
**ΔE_f**: 1.300 eV per atom
**Space group**: No. 123

---

8.
Entry from Alexandria via LeMat-Bulk: CaLaZrRu2 after structural relaxation (PBE).

Cell lengths 4.9193, 4.9256, 4.9193 Å; angles 90.00, 90.00, 90.00 degrees
Closest atoms and distances in Å follow each position.
Atoms (fractional coordinates):
Ru: 0.0000 0.0000 0.5000  2 Ca 2.46
La: 0.5000 0.5000 0.5000  4 Zr 3.48, 8 Ru 3.48
Ru: 0.5000 0.0000 0.0000  2 Ca 2.46
Zr: 0.0000 0.5000 0.0000  2 Ca 2.46
Ca: 0.0000 0.0000 0.0000  4 Ru 2.46, 2 Zr 2.46

Calculated values
**Fermi-level density of states**: 1.609 states/eV per atom
**ΔE_f**: 1.333 eV per atom
**Space group**: No. 123

---

9.
Entry from Alexandria via LeMat-Bulk: Ac4TePtSe2 after structural relaxation (PBE).

Cell lengths 4.4360, 7.9272, 8.0702 Å; angles 71.07, 90.00, 90.00 degrees
Closest atoms and distances in Å follow each position.
Atoms (fractional coordinates):
Se: 0.0000 0.0000 0.0000  6 Ac 3.13-3.20
Te: 0.0000 0.5000 0.5000  6 Ac 3.30-3.33
Se: 0.5000 0.0000 0.5000  6 Ac 3.28-3.37
Ac: 0.5000 0.2391 0.7638  3 Se 3.13-3.28, 1 Pt 3.24, 2 Te 3.30
Ac: 0.0000 0.2674 0.2233  2 Pt 3.07, 3 Se 3.20-3.37, 1 Te 3.32
Ac: 0.5000 0.7609 0.2362  3 Se 3.13-3.28, 1 Pt 3.24, 2 Te 3.30
Pt: 0.5000 0.5000 0.0000  6 Ac 3.07-3.24
Ac: 0.0000 0.7326 0.7767  2 Pt 3.07, 3 Se 3.20-3.37, 1 Te 3.33

Calculated values
**Fermi-level density of states**: 0.713 states/eV per atom
**Formation energy without anion corrections**: -1.57 eV per atom
**Space group**: No. 10

---

10.
Entry from Alexandria via LeMat-Bulk: ZrNi2Os after structural relaxation (PBE).

Cell lengths 4.6989, 4.6989, 4.6862 Å; angles 79.31, 79.31, 34.49 degrees
Closest atoms and distances in Å follow each position.
Atoms (fractional coordinates):
Zr: 0.7458 0.7458 0.7689  7 Ni 2.66-2.74, 2 Zr 2.79, 3 Os 2.79-2.91
Ni: 0.9900 0.9900 0.0136  2 Os 2.53, 5 Ni 2.63-2.83, 3 Zr 2.66-2.74
Os: 0.5122 0.5122 0.4528  5 Ni 2.53-2.65, 2 Os 2.79, 1 Zr 2.79
Ni: 0.2520 0.2520 0.2647  3 Os 2.57-2.65, 5 Ni 2.63-2.83, 4 Zr 2.72-2.73

Calculated values
**Fermi-level density of states**: 1.106 states/eV per atom
**ΔE_f**: -0.057 eV per atom
**Space group**: No. 8

---

11.
Entry from Alexandria via LeMat-Bulk: NaLaZr after structural relaxation (PBE).

Cell lengths 3.8723, 3.8723, 13.4837 Å; angles 90.00, 90.00, 90.00 degrees
Closest atoms and distances in Å follow each position.
Atoms (fractional coordinates):
La: 0.5000 0.0000 0.1994  5 Zr 3.32-3.43
Zr: 0.0000 0.5000 0.0467  4 Zr 3.01, 1 La 3.32
Na: 0.5000 0.0000 0.5921  8 Na 3.70-3.87, 4 La 3.92
Na: 0.0000 0.5000 0.4079  8 Na 3.70-3.87, 4 La 3.92
La: 0.0000 0.5000 0.8006  5 Zr 3.32-3.43
Zr: 0.5000 0.0000 0.9533  4 Zr 3.01, 1 La 3.32

Calculated values
**Fermi-level density of states**: 1.162 states/eV per atom
**ΔE_f**: 0.115 eV per atom
**Relative energy among the computed polymorphs**: 11.3 meV/atom
**Space group**: No. 129

---

12.
Entry from Alexandria via LeMat-Bulk: ScHg2Os after structural relaxation (PBE).

Cell lengths 9.8073, 9.8073, 9.8073 Å; angles 17.89, 17.89, 17.89 degrees
Closest atoms and distances in Å follow each position.
Atoms (fractional coordinates):
Sc: 0.7500 0.7500 0.7500  6 Hg 3.04, 6 Sc 3.05
Hg: 0.9975 0.9975 0.9975  3 Os 2.93, 3 Sc 3.04, 6 Hg 3.05
Os: 0.2500 0.2500 0.2500  6 Hg 2.93, 6 Os 3.05
Hg: 0.5025 0.5025 0.5025  3 Os 2.93, 3 Sc 3.04, 6 Hg 3.05

Calculated values
**Fermi-level density of states**: 0.787 states/eV per atom
**ΔE_f**: 0.461 eV per atom
**Relative energy among the computed polymorphs**: 371.9 meV/atom
**Space group**: No. 166

---

| no. | calculated total energy (eV/atom) |
| --- | --- |
| 1 | -5.541 |
| 2 | -4.305 |
| 3 | -5.205 |
| 4 | -5.330 |
| 5 | -5.328 |
| 6 | -3.733 |
| 7 | -5.437 |
| 8 | -5.473 |
| 9 | -5.639 |
| 10 | -7.892 |
| 11 | -4.817 |
| 12 | -4.080 |